K2BaCl at its PBEsol-relaxed geometry, computed with SCAN.

a = 4.6908 Å, b = 6.9385 Å, c = 11.7468 Å
α = 90.00°, β = 90.00°, γ = 90.00°
Closest atoms and distances in Å follow each position.
Sites, in units of the cell vectors:
1 K 0.0000 0.0000 0.1663  2 Cl 3.05
2 K 0.0000 0.0000 0.8337  2 Cl 3.05
3 K 0.5000 0.5000 0.1663  2 Cl 3.05
4 K 0.5000 0.5000 0.8337  2 Cl 3.05
5 Ba 0.0000 0.5000 0.5000  4 Ba 4.19, 4 K 4.57
6 Ba 0.5000 0.0000 0.5000  4 Ba 4.19, 4 K 4.57
7 Cl 0.0000 0.5000 0.0000  4 K 3.05
8 Cl 0.5000 0.0000 0.0000  4 K 3.05

ΔE_f (raw)	-0.938	eV/atom
space-group type	Cmmm
spin magnetization	0.7	μB per formula unit
energy relative to the lowest polymorph listed for this composition	49	meV per atom


KBaCl2 at its PBEsol-relaxed geometry, computed with SCAN.

a = 7.6284 Å, b = 7.6284 Å, c = 7.6284 Å
α = 90.00°, β = 90.00°, γ = 90.00°
Closest atoms and distances in Å follow each position.
Sites, in units of the cell vectors:
1 K 0.0000 0.0000 0.0000  8 Cl 3.30
2 K 0.0000 0.5000 0.5000  8 Cl 3.30
3 K 0.5000 0.0000 0.5000  8 Cl 3.30
4 K 0.5000 0.5000 0.0000  8 Cl 3.30
5 Ba 0.0000 0.0000 0.5000  8 Cl 3.30
6 Ba 0.0000 0.5000 0.0000  8 Cl 3.30
7 Ba 0.5000 0.0000 0.0000  8 Cl 3.30
8 Ba 0.5000 0.5000 0.5000  8 Cl 3.30
9 Cl 0.2500 0.2500 0.2500  4 Ba 3.30, 4 K 3.30
10 Cl 0.2500 0.2500 0.7500  4 Ba 3.30, 4 K 3.30
11 Cl 0.2500 0.7500 0.2500  4 Ba 3.30, 4 K 3.30
12 Cl 0.2500 0.7500 0.7500  4 Ba 3.30, 4 K 3.30
13 Cl 0.7500 0.2500 0.2500  4 Ba 3.30, 4 K 3.30
14 Cl 0.7500 0.2500 0.7500  4 Ba 3.30, 4 K 3.30
15 Cl 0.7500 0.7500 0.2500  4 Ba 3.30, 4 K 3.30
16 Cl 0.7500 0.7500 0.7500  4 Ba 3.30, 4 K 3.30

ΔE_f (raw)	-1.828	eV/atom
space-group type	Fm-3m
spin magnetization	0.9	μB per formula unit
energy relative to the lowest polymorph listed for this composition	173	meV per atom


KBaCl2 at its PBEsol-relaxed geometry, computed with SCAN.

a = 4.7358 Å, b = 5.8646 Å, c = 5.9734 Å
α = 90.00°, β = 94.10°, γ = 90.00°
Closest atoms and distances in Å follow each position.
Sites, in units of the cell vectors:
1 K 0.0000 0.0000 0.0000  4 Cl 3.12-3.26
2 Ba 0.4201 0.5000 0.5485  4 Cl 3.00-3.08
3 Cl 0.3006 0.5000 0.0479  2 Ba 3.00-3.08, 2 K 3.26
4 Cl 0.4666 0.0000 0.6558  2 Ba 3.01, 2 K 3.12-3.14

ΔE_f (raw)	-1.969	eV/atom
space-group type	Pm
spin magnetization	0.0	μB per formula unit
energy relative to the lowest polymorph listed for this composition	32	meV per atom